Entry from Alexandria: a relaxed MnPtS2Cl crystal (PBE).

Structure (POSCAR):
```
MnPtS2Cl
1.0
4.3303 0.0000 0.0000
0.0000 4.3303 0.0000
0.0000 0.0000 4.7083
S Cl Mn Pt
2 1 1 1
Cartesian
0.0000 2.1651 0.0000
2.1651 0.0000 0.0000
0.0000 0.0000 2.3542
0.0000 0.0000 0.0000
2.1651 2.1651 2.3542
```

Summary:
* total energy: -4.45 eV/atom
* E_form (uncorrected): 0.61 eV/atom



Entry from Alexandria: a relaxed MgZnF5 crystal (PBE).

Structure (POSCAR):
```
MgZnF5
1.0
-3.0507 -0.0025 -2.1696
-2.5075 -4.7176 0.3018
-4.3940 0.7978 2.9480
F Mg Zn
5 1 1
Cartesian
-5.5719 -0.2194 1.3758
-4.0020 -0.9702 -0.8308
-4.3803 -3.7030 -0.2956
-5.9503 -2.9522 1.9111
-3.4508 -1.9599 1.6249
0.0000 0.0000 0.0000
-4.9761 -1.9612 0.5401
```

Summary:
* total energy: -4.12 eV/atom
* E_form (uncorrected): -2.38 eV/atom



Entry from Alexandria: a relaxed ScAgTe2 crystal (PBE).

Structure (POSCAR):
```
ScAgTe2
1.0
-3.0421 -2.1693 0.0987
2.0273 -2.7740 1.5141
-0.1133 0.5126 7.7725
Te Ag Sc
2 1 1
Cartesian
0.1962 0.0821 7.8482
0.6475 -0.7002 4.5677
-1.0426 -1.6500 2.3710
-0.0856 -2.7807 7.0144
```

Summary:
* total energy: -4.40 eV/atom
* E_form (uncorrected): -0.53 eV/atom



Entry from Alexandria: a relaxed Hf3CuRu crystal (PBE).

Structure (POSCAR):
```
Hf3CuRu
1.0
4.9394 0.0000 0.0000
0.0000 4.9394 0.0000
0.0000 0.0000 4.9394
Hf Cu Ru
3 1 1
Cartesian
0.0000 0.0000 2.4697
0.0000 2.4697 0.0000
2.4697 0.0000 0.0000
2.4697 2.4697 2.4697
0.0000 0.0000 0.0000
```

Summary:
* DFT formation energy: 2.77 eV/f.u.
* total energy: -8.09 eV/atom



no.,density (g/cm³),calculated volume (Å³/atom)
1,6.58,17.66
2,3.32,13.21
3,6.61,25.64
4,9.65,24.10